(1)
{
  "formula": "PrScSn",
  "functional": "PBE",
  "state": "optimized geometry",
  "space_group": "P3m1",
  "polymorph_energy_mev_per_atom": 168,
  "lattice_angstrom": [[4.942, 0.000, 0.000], [-2.471, 4.280, 0.000], [0.000, 0.000, 4.099]],
  "species": ["Pr", "Sc", "Sn"],
  "fractional_positions": [[0.000, 0.000, 0.000], [0.667, 0.333, 0.499], [0.333, 0.667, 0.501]]
}

---

(2)
{
  "formula": "Pr8ScSn6",
  "functional": "PBE",
  "state": "optimized geometry",
  "space_group": "R-3",
  "lattice_angstrom": [[4.675, 2.699, 6.624], [-4.675, 2.699, 6.624], [0.000, -5.399, 6.624]],
  "species": ["Pr", "Pr", "Pr", "Pr", "Pr", "Pr", "Pr", "Pr", "Sc", "Sn", "Sn", "Sn", "Sn", "Sn", "Sn"],
  "fractional_positions": [[0.057, 0.735, 0.399], [0.165, 0.165, 0.165], [0.265, 0.601, 0.943], [0.399, 0.057, 0.735], [0.601, 0.943, 0.265], [0.735, 0.399, 0.057], [0.835, 0.835, 0.835], [0.943, 0.265, 0.601], [0.500, 0.500, 0.500], [0.113, 0.433, 0.755], [0.245, 0.887, 0.567], [0.433, 0.755, 0.113], [0.567, 0.245, 0.887], [0.755, 0.113, 0.433], [0.887, 0.567, 0.245]]
}

---

(3)
{
  "formula": "Pr2ScSn2",
  "functional": "PBE",
  "state": "optimized geometry",
  "space_group": "Immm",
  "polymorph_energy_mev_per_atom": 28,
  "lattice_angstrom": [[-2.313, 3.315, 4.829], [2.313, -3.315, 4.829], [2.313, 3.315, -4.829]],
  "species": ["Pr", "Pr", "Sc", "Sn", "Sn"],
  "fractional_positions": [[0.201, 0.201, 0.000], [0.799, 0.799, 0.000], [0.500, 0.000, 0.500], [0.227, 0.500, 0.727], [0.773, 0.500, 0.273]]
}

---

(4)
{
  "formula": "PrScSn2",
  "functional": "PBE",
  "state": "optimized geometry",
  "space_group": "Pnma",
  "polymorph_energy_mev_per_atom": 0,
  "lattice_angstrom": [[8.647, 0.000, 0.000], [0.000, 4.322, 0.000], [0.000, 0.000, 11.943]],
  "species": ["Pr", "Pr", "Pr", "Pr", "Sc", "Sc", "Sc", "Sc", "Sn", "Sn", "Sn", "Sn", "Sn", "Sn", "Sn", "Sn"],
  "fractional_positions": [[0.138, 0.250, 0.148], [0.362, 0.750, 0.648], [0.638, 0.250, 0.352], [0.862, 0.750, 0.852], [0.022, 0.750, 0.399], [0.478, 0.250, 0.899], [0.522, 0.750, 0.101], [0.978, 0.250, 0.601], [0.150, 0.250, 0.803], [0.250, 0.250, 0.457], [0.250, 0.750, 0.957], [0.350, 0.750, 0.303], [0.650, 0.250, 0.697], [0.750, 0.250, 0.043], [0.750, 0.750, 0.543], [0.850, 0.750, 0.197]]
}

---

(5)
{
  "formula": "PrSc2Sn",
  "functional": "PBE",
  "state": "optimized geometry",
  "space_group": "P4/mmm",
  "polymorph_energy_mev_per_atom": 108,
  "lattice_angstrom": [[3.687, 0.000, 0.000], [0.000, 3.687, 0.000], [0.000, 0.000, 7.716]],
  "species": ["Pr", "Sc", "Sc", "Sn"],
  "fractional_positions": [[0.000, 0.000, 0.000], [0.500, 0.500, 0.289], [0.500, 0.500, 0.711], [0.000, 0.000, 0.500]]
}

---

(6)
{
  "formula": "Pr3ScSn3",
  "functional": "PBE",
  "state": "optimized geometry",
  "space_group": "C2/m",
  "lattice_angstrom": [[4.325, -6.612, 0.000], [4.325, 6.612, 0.000], [-0.294, 0.000, 7.939]],
  "species": ["Pr", "Pr", "Pr", "Pr", "Pr", "Pr", "Sc", "Sc", "Sn", "Sn", "Sn", "Sn", "Sn", "Sn"],
  "fractional_positions": [[0.158, 0.842, 0.000], [0.227, 0.773, 0.500], [0.376, 0.376, 0.151], [0.624, 0.624, 0.849], [0.773, 0.227, 0.500], [0.842, 0.158, 0.000], [0.280, 0.280, 0.595], [0.720, 0.720, 0.405], [0.053, 0.053, 0.313], [0.153, 0.494, 0.804], [0.494, 0.153, 0.804], [0.506, 0.847, 0.196], [0.847, 0.506, 0.196], [0.947, 0.947, 0.687]]
}

---

(7)
{
  "formula": "PrSc4Sn4",
  "functional": "PBE",
  "state": "optimized geometry",
  "space_group": "P4_2/n",
  "lattice_angstrom": [[9.566, 0.000, 0.000], [0.000, 9.566, 0.000], [0.000, 0.000, 5.800]],
  "species": ["Pr", "Pr", "Sc", "Sc", "Sc", "Sc", "Sc", "Sc", "Sc", "Sc", "Sn", "Sn", "Sn", "Sn", "Sn", "Sn", "Sn", "Sn"],
  "fractional_positions": [[0.250, 0.250, 0.250], [0.750, 0.750, 0.750], [0.115, 0.636, 0.149], [0.136, 0.885, 0.649], [0.364, 0.615, 0.649], [0.385, 0.864, 0.149], [0.615, 0.136, 0.851], [0.636, 0.385, 0.351], [0.864, 0.115, 0.351], [0.885, 0.364, 0.851], [0.060, 0.591, 0.667], [0.091, 0.940, 0.167], [0.409, 0.560, 0.167], [0.440, 0.909, 0.667], [0.560, 0.091, 0.333], [0.591, 0.440, 0.833], [0.909, 0.060, 0.833], [0.940, 0.409, 0.333]]
}

---

(8)
{
  "formula": "PrScSn",
  "functional": "PBE",
  "state": "optimized geometry",
  "space_group": "Immm",
  "polymorph_energy_mev_per_atom": 497,
  "lattice_angstrom": [[-1.714, 3.161, 8.166], [1.714, -3.161, 8.166], [1.714, 3.161, -8.166]],
  "species": ["Pr", "Pr", "Sc", "Sc", "Sn", "Sn"],
  "fractional_positions": [[0.141, 0.141, 0.000], [0.859, 0.859, 0.000], [0.340, 0.340, 0.000], [0.660, 0.660, 0.000], [0.262, 0.500, 0.762], [0.738, 0.500, 0.238]]
}

---

Computed values of energy of formation (unit: eV/atom) for the preceding records, in sequence: -0.462 -0.542 -0.675 -0.616 -0.280 -0.471 -0.388 -0.134.
Computed values of total DFT energy (no corrections) (unit: eV per atom) for the preceding records, in sequence: -5.500 -5.114 -5.454 -5.396 -5.642 -5.140 -5.512 -5.172.